#1
Material: Ac4PrIn
Method: DFT, PBE-GGA
State: optimized geometry

CIF file:
```
data_Ac4PrIn
_chemical_formula_sum 'Ac16 Pr4 In4'
_symmetry_space_group_name_H-M 'F -4 3 m'
_symmetry_Int_Tables_number 216
_symmetry_space_group_name_Hall 'F -4 2 3'
_cell_length_a 10.096
_cell_length_b 10.096
_cell_length_c 10.096
_cell_angle_alpha 90.00
_cell_angle_beta 90.00
_cell_angle_gamma 90.00
loop_
_atom_site_label
_atom_site_type_symbol
_atom_site_fract_x
_atom_site_fract_y
_atom_site_fract_z
Ac1 Ac 0.125 0.125 0.125
Pr1 Pr 0.000 0.000 0.500
In1 In 0.250 0.250 0.750
```

mass density: 7.51 g cm⁻³

***

#2
Material: Ac4PrIn
Method: DFT, PBE-GGA
State: optimized geometry

CIF file:
```
data_Ac4PrIn
_chemical_formula_sum 'Ac4 Pr1 In1'
_symmetry_space_group_name_H-M 'P 4/m m m'
_symmetry_Int_Tables_number 123
_symmetry_space_group_name_Hall '-P 4 2'
_cell_length_a 3.956
_cell_length_b 3.956
_cell_length_c 15.379
_cell_angle_alpha 90.00
_cell_angle_beta 90.00
_cell_angle_gamma 90.00
loop_
_atom_site_label
_atom_site_type_symbol
_atom_site_fract_x
_atom_site_fract_y
_atom_site_fract_z
Ac1 Ac 0.000 0.000 0.142
Ac2 Ac 0.500 0.500 0.328
Pr1 Pr 0.000 0.000 0.500
In1 In 0.500 0.500 0.000
```

mass density: 8.03 g cm⁻³

***

Most stable: #2

***

#1
Material: AcPr4In2
Method: DFT, PBE-GGA
State: optimized geometry

CIF file:
```
data_AcPr4In2
_chemical_formula_sum 'Ac2 Pr8 In4'
_symmetry_space_group_name_H-M 'I 4/m m m'
_symmetry_Int_Tables_number 139
_symmetry_space_group_name_Hall '-I 4 2'
_cell_length_a 4.433
_cell_length_b 4.433
_cell_length_c 25.548
_cell_angle_alpha 90.00
_cell_angle_beta 90.00
_cell_angle_gamma 90.00
loop_
_atom_site_label
_atom_site_type_symbol
_atom_site_fract_x
_atom_site_fract_y
_atom_site_fract_z
Ac1 Ac 0.000 0.000 0.000
Pr1 Pr 0.000 0.000 0.134
Pr2 Pr 0.000 0.500 0.250
In1 In 0.000 0.000 0.425
```

mass density: 6.75 g cm⁻³

***

#2
Material: AcPr4In2
Method: DFT, PBE-GGA
State: optimized geometry

CIF file:
```
data_AcPr4In2
_chemical_formula_sum 'Ac2 Pr8 In4'
_symmetry_space_group_name_H-M 'C 1 2/m 1'
_symmetry_Int_Tables_number 12
_cell_length_a 6.928
_cell_length_b 11.499
_cell_length_c 6.216
_cell_angle_alpha 90.00
_cell_angle_beta 96.61
_cell_angle_gamma 90.00
loop_
_symmetry_equiv_pos_as_xyz
'x,y,z'
'-x,-y,-z'
'-x,y,-z'
'x,-y,z'
'x+1/2,y+1/2,z'
'-x+1/2,-y+1/2,-z'
'-x+1/2,y+1/2,-z'
'x+1/2,-y+1/2,z'
loop_
_atom_site_label
_atom_site_type_symbol
_atom_site_fract_x
_atom_site_fract_y
_atom_site_fract_z
Ac1 Ac 0.000 0.000 0.000
Pr1 Pr 0.000 0.235 0.500
Pr2 Pr 0.250 0.250 0.000
In1 In 0.058 0.500 0.258
```

mass density: 6.89 g cm⁻³

***

Most stable: #2